# Na5YW4O16

An optimized crystal structure of Na5YW4O16 (GGA+U, the Alexandria database).

Output
Size of the total moment ... 0.00 μB per atom
DOS at the Fermi energy ... 0.0 states/eV per cell
Calculated total energy ... -6.8386 eV/atom

```
data_Na5YW4O16
_chemical_formula_sum 'Na20 Y4 W16 O64'
_space_group_name_H-M_alt 'I 41/a'
_space_group_IT_number 88
_cell_length_a 11.668
_cell_length_b 11.668
_cell_length_c 11.409
_cell_angle_alpha 90.00
_cell_angle_beta 90.00
_cell_angle_gamma 90.00
loop_
_space_group_symop_operation_xyz
'x,y,z'
'-x,-y,-z'
'-y+3/4,x+1/4,z+1/4'
'y+3/4,-x+1/4,-z+1/4'
'-x+1/2,-y,z+1/2'
'x+1/2,y,-z+1/2'
'y+3/4,-x+3/4,z+3/4'
'-y+3/4,x+3/4,-z+3/4'
'x+1/2,y+1/2,z+1/2'
'-x+1/2,-y+1/2,-z+1/2'
'-y+1/4,x+3/4,z+3/4'
'y+1/4,-x+3/4,-z+3/4'
'-x,-y+1/2,z'
'x,y+1/2,-z'
'y+1/4,-x+1/4,z+1/4'
'-y+1/4,x+1/4,-z+1/4'
loop_
_atom_site_label
_atom_site_fract_x
_atom_site_fract_y
_atom_site_fract_z
Na1 0.000 0.250 0.125
Na2 0.119 0.456 0.845
Y1 0.000 0.250 0.625
W1 0.092 0.434 0.365
O1 0.030 0.102 0.273
O2 0.061 0.136 0.788
O3 0.079 0.073 0.558
O4 0.184 0.035 0.980
```